Record 1
VASP calculation (PBE-GGA) on a geometry-optimized LiTlHO structure.

Summary:
As for the space-group type: P1. Its electronic total energy is -3.67 eV per atom.

a b c (Å): 3.280 3.585 5.271
angles (deg): 87.90 84.06 64.37
Positions (direct):
Li1 0.000 0.000 0.000
Tl1 0.646 0.506 0.438
H1 0.100 0.992 0.589
O1 0.272 0.392 0.113


Record 2
VASP calculation (PBE-GGA) on a geometry-optimized LiTlHO structure.

Summary:
As for the space-group type: Amm2. Its electronic total energy is -3.65 eV per atom.

a b c (Å): 4.643 3.483 3.483
angles (deg): 70.32 90.00 90.00
Positions (direct):
Li1 0.000 0.000 0.000
Tl1 0.500 0.546 0.546
H1 0.500 0.156 0.156
O1 0.000 0.644 0.644


Record 3
VASP calculation (PBE-GGA) on a geometry-optimized LiTlHO structure.

Summary:
As for the space-group type: P-6m2. Its electronic total energy is -3.68 eV per atom.

a b c (Å): 3.690 3.690 4.740
angles (deg): 90.00 90.00 120.00
Positions (direct):
Li1 0.000 0.000 0.000
Tl1 0.667 0.333 0.500
H1 0.000 0.000 0.500
O1 0.667 0.333 0.000


Record 4
VASP calculation (PBE-GGA) on a geometry-optimized LiTlHO structure.

Summary:
As for the space-group type: Pmm2. Its electronic total energy is -3.70 eV per atom.

a b c (Å): 3.632 3.732 4.469
angles (deg): 90.00 90.00 90.00
Positions (direct):
Li1 0.000 0.000 0.000
Tl1 0.500 0.500 0.542
H1 0.500 0.000 0.404
O1 0.000 0.500 0.883


Record 5
VASP calculation (PBE-GGA) on a geometry-optimized LiTlHO structure.

Summary:
As for the space-group type: P1. Its electronic total energy is -4.15 eV per atom.

a b c (Å): 3.303 3.350 6.964
angles (deg): 76.61 76.96 62.54
Positions (direct):
Li1 0.000 0.000 0.000
Tl1 0.517 0.488 0.436
H1 0.714 0.706 0.820
O1 0.674 0.669 0.967


Record 6
VASP calculation (PBE-GGA) on a geometry-optimized LiTlHO structure.

Summary:
As for the space-group type: P3m1. Its electronic total energy is -3.67 eV per atom.

a b c (Å): 3.434 3.434 5.213
angles (deg): 90.00 90.00 120.00
Positions (direct):
Li1 0.000 0.000 0.000
Tl1 0.333 0.667 0.568
H1 0.000 0.000 0.409
O1 0.667 0.333 0.876


Record 7
VASP calculation (PBE-GGA) on a geometry-optimized LiTlHO structure.

Summary:
As for the space-group type: Pm. Its electronic total energy is -3.65 eV per atom.

a b c (Å): 3.955 3.169 5.593
angles (deg): 90.00 109.88 90.00
Positions (direct):
Li1 0.000 0.000 0.000
Tl1 0.738 0.000 0.487
H1 0.188 0.000 0.383
O1 0.895 0.500 0.803